No. 1
LiRe2Tc | PBE | optimized geometry

Lattice parameters (Å, degrees): 6.080 6.080 6.080 90.00 90.00 90.00
Space group F-43m (No. 216)
Inequivalent atoms, fractional coordinates:
Li: 0.000 0.000 0.000 x4
Re: 0.000 0.000 0.500 x4
Re: 0.250 0.250 0.750 x4
Tc: 0.250 0.250 0.250 x4

## Properties
The calculation puts the density at 14.1 g/cm3. The polymorph energy (0 for the lowest one) is 0.00 eV/f.u. For the formation energy from the elements, the calculation gives 0.1717 eV/atom. For the spin magnetization, the calculation gives 0.000 μB/atom.

---

No. 2
Li2ReTc | PBE | optimized geometry

Lattice parameters (Å, degrees): 3.020 4.086 9.333 90.00 90.00 90.00
Space group Cmmm (No. 65)
Inequivalent atoms, fractional coordinates:
Li: 0.000 0.000 0.249 x4
Re: 0.000 0.500 0.000 x2
Tc: 0.000 0.500 0.500 x2

## Properties
The calculation puts the density at 8.6 g/cm3. The polymorph energy (0 for the lowest one) is 0.42 eV/f.u. For the formation energy from the elements, the calculation gives 0.2996 eV/atom. For the spin magnetization, the calculation gives 0.000 μB/atom.

---

No. 3
Li2ReTc | PBE | optimized geometry

Lattice parameters (Å, degrees): 6.767 6.767 4.848 90.00 90.00 90.00
Space group I-42d (No. 122)
Inequivalent atoms, fractional coordinates:
Li: 0.246 0.250 0.125 x8
Re: 0.000 0.000 0.500 x4
Tc: 0.000 0.000 0.000 x4

## Properties
The calculation puts the density at 8.9 g/cm3. The polymorph energy (0 for the lowest one) is 3.21 eV/f.u. For the formation energy from the elements, the calculation gives 0.9966 eV/atom. For the spin magnetization, the calculation gives 0.000 μB/atom.

---

No. 4
Li2ReTc | PBE | optimized geometry

Lattice parameters (Å, degrees): 2.951 4.427 9.438 90.00 90.00 90.00
Space group Cmm2 (No. 35)
Inequivalent atoms, fractional coordinates:
Li: 0.000 0.000 0.000 x2
Li: 0.000 0.500 0.282 x2
Re: 0.000 0.500 0.756 x2
Tc: 0.000 0.000 0.526 x2

## Properties
The calculation puts the density at 8.0 g/cm3. The polymorph energy (0 for the lowest one) is 0.00 eV/f.u. For the formation energy from the elements, the calculation gives 0.1938 eV/atom. For the spin magnetization, the calculation gives 0.000 μB/atom.